# Al2TcHg

Crystalline Al2TcHg at its relaxed geometry (PBE, Alexandria via LeMat-Bulk).

Values from the calculation:
- total magnetic moment (μB per atom) = 0.135
- E_tot (eV/f.u.) = -18.1
- energy of formation from the pure elements (meV/atom) = 1
- V (Å³ per atom) = 16.28

Lattice parameters (Å, degrees): 3.9904 3.9904 8.1783 90.00 90.00 90.00
With the nearest neighbours (Å) after each atom.
Space group I4/mmm (No. 139)
Inequivalent atoms, fractional coordinates:
Al 0.0000 0.5000 0.2500 (multiplicity 4)  4 Al 2.82, 4 Tc 2.86, 4 Hg 2.86
Tc 0.0000 0.0000 0.0000 (multiplicity 2)  4 Hg 2.82, 8 Al 2.86
Hg 0.0000 0.0000 0.5000 (multiplicity 2)  4 Tc 2.82, 8 Al 2.86